1.
Crystalline BeSiOs2 at its relaxed geometry, computed with PBE-GGA.

Cell and atoms, written as POSCAR:
```
BeSiOs2
1.0
0.1401 1.3507 -3.6825
-0.3193 -3.8549 0.6655
-7.9661 0.6486 -0.0651
Be Os Si
2 4 2
Cartesian
0.0000 0.0000 0.0000
-3.9830 0.3243 -0.0325
-0.7628 -0.3234 -2.2393
-3.2464 -0.1212 -2.2596
-4.8989 -1.7343 -0.8225
-7.3826 -1.5321 -0.8428
-2.1577 -1.9575 -0.8001
-5.9876 0.1020 -2.2820
```

Summary:
Its space group is No. 194.

=====

2.
Crystalline HfAsPC at its relaxed geometry, computed with PBE-GGA.

Cell and atoms, written as POSCAR:
```
HfAsPC
1.0
-0.9743 3.2031 -0.1246
-1.8788 -2.2612 1.6068
6.0324 2.2314 10.1937
As C Hf P
2 2 2 2
Cartesian
0.0703 0.1697 3.8138
3.1090 3.0036 7.8621
0.0000 0.0000 0.0000
3.0162 1.1157 5.0968
-0.6651 1.6076 1.4845
3.8444 1.5657 10.1914
1.1609 2.2830 4.5701
2.0184 0.8903 7.1058
```

Summary:
Its space group is No. 164.

=====

3.
Crystalline Co2H36Pt3N12Cl12 at its relaxed geometry, computed with PBE-GGA.

Cell and atoms, written as POSCAR:
```
Co2H36Pt3N12Cl12
1.0
7.6651 0.0000 0.0000
0.2574 7.7352 0.0000
1.4076 0.2333 12.4405
Cl Co H N Pt
12 2 36 12 3
Cartesian
7.6536 5.6998 1.0676
2.0288 0.2177 1.1041
6.9617 3.2700 3.9225
4.0571 1.7021 4.0188
5.4304 6.1218 4.3332
2.5429 4.5821 4.3663
6.7872 3.3863 8.0742
3.8997 1.8467 8.1073
5.2730 6.2663 8.4217
2.3684 4.6985 8.5180
7.3012 7.7507 11.3363
1.6764 2.2687 11.3729
3.9613 3.8676 0.0000
0.7038 0.1166 6.2202
5.7965 2.1202 0.4121
5.3222 5.7957 0.9659
2.1219 2.4753 1.0842
3.7100 6.1572 1.1222
1.6970 4.0814 1.1652
5.8460 3.2405 1.6167
4.7114 2.0709 1.6597
4.4433 5.0902 2.1589
2.7893 3.4647 2.2250
1.7767 7.5842 3.7720
7.9447 0.9303 3.8580
7.8913 7.0487 3.8959
2.0082 2.1106 5.3196
6.1597 1.0821 5.3366
7.4961 5.6706 5.5092
2.9666 6.4739 5.5279
8.2259 2.6367 5.9071
3.2216 0.2659 5.9280
6.1085 7.7026 6.5125
1.1042 5.3317 6.5333
6.3635 1.4945 6.9126
1.8340 2.2978 6.9312
3.1704 6.8864 7.1039
7.3219 5.8578 7.1209
1.4388 0.9197 8.5446
1.3854 7.0381 8.5825
7.5533 0.3842 8.6685
6.5408 4.5038 10.2154
4.8868 2.8783 10.2815
4.6186 5.8976 10.7807
3.4841 4.7279 10.8238
7.6331 3.8871 11.2753
5.6200 1.8112 11.3182
7.2081 5.4932 11.3563
4.0078 2.1728 11.4746
3.5336 5.8482 12.0284
5.2005 2.7087 1.0144
4.3967 5.3872 1.1656
2.4914 3.4271 1.2386
0.8788 7.7699 4.2397
1.3313 1.9786 6.0883
2.8308 7.2485 6.2002
6.4993 0.7199 6.2403
7.9987 5.9898 6.3522
8.4512 0.1986 8.2008
6.8386 4.5414 11.2019
4.9333 2.5813 11.2749
4.1296 5.2597 11.4261
0.0000 0.0000 0.0000
4.7555 3.9125 4.2386
4.5746 4.0559 8.2019
```

Summary:
Its space group is No. 2.

=====

Quick rundown of raw total energy, same order as above: -7.83; -7.22; -4.75 eV per atom
Quick rundown of volume, same order as above: 13.3; 14.6; 11.3 Å³/atom